Entry from Alexandria via LeMat-Bulk: a geometry-optimized ScMnAsRh2 structure (PBE-GGA).

abc: 4.4002 4.8038 4.4002
angles: 90.00 90.00 90.00
Sites, in units of the cell vectors:
As 0.5000 0.5000 0.5000
Sc 0.0000 0.5000 0.0000
Mn 0.0000 0.0000 0.0000
Rh 0.0000 0.0000 0.5000
Rh 0.5000 0.0000 0.0000

Computed properties:
Energy of formation: 437 meV per atom



Entry from Alexandria via LeMat-Bulk: a geometry-optimized Na2Sr2Pb structure (PBE-GGA).

abc: 4.3089 4.3089 11.2103
angles: 78.92 78.92 90.00
Sites, in units of the cell vectors:
Na 0.2500 0.7500 0.5000
Sr 0.5889 0.5889 0.8222
Pb 0.0000 0.0000 0.0000
Sr 0.4111 0.4111 0.1778
Na 0.7500 0.2500 0.5000

Computed properties:
Energy of formation: -128 meV per atom
Energy above the lowest structure with this stoichiometry: 0.0000 eV/atom



Entry from Alexandria via LeMat-Bulk: a geometry-optimized LaCd2Ag structure (PBE-GGA).

abc: 5.0030 3.4942 5.9959
angles: 90.11 90.00 90.00
Sites, in units of the cell vectors:
Cd 0.5000 0.9972 0.2441
La 0.0000 0.4998 0.5104
Cd 0.0000 0.0007 0.0003
Ag 0.5000 0.0023 0.7452

Computed properties:
Energy of formation: -183 meV per atom



Entry from Alexandria via LeMat-Bulk: a geometry-optimized Sr2LuBiO6 structure (PBE-GGA).

abc: 6.0095 5.9070 10.2805
angles: 54.87 90.00 90.00
Sites, in units of the cell vectors:
O 0.2880 0.7489 0.0475
O 0.2120 0.7489 0.5475
Sr 0.5413 0.7394 0.2502
Lu 0.0000 0.5000 0.5000
Bi 0.0000 0.0000 0.0000
O 0.2061 0.3348 0.9541
O 0.5290 0.8413 0.7465
O 0.7939 0.6652 0.0459
O 0.7880 0.2511 0.4525
O 0.2939 0.3348 0.4541
Bi 0.5000 0.0000 0.5000
O 0.7061 0.6652 0.5459
Sr 0.0413 0.2606 0.2498
O 0.4710 0.1587 0.2535
O 0.7120 0.2511 0.9525
O 0.0290 0.1587 0.7535
Sr 0.9587 0.7394 0.7502
Lu 0.5000 0.5000 0.0000
O 0.9710 0.8413 0.2465
Sr 0.4587 0.2606 0.7498

Computed properties:
Raw formation energy: -2.475 eV/atom



Entry from Alexandria via LeMat-Bulk: a geometry-optimized Li2MgAu8 structure (PBE-GGA).

abc: 4.9917 6.5657 6.5082
angles: 108.51 104.74 97.70
Sites, in units of the cell vectors:
Au 0.3135 0.3622 0.2701
Au 0.6865 0.6378 0.7299
Au 0.1585 0.7451 0.5509
Au 0.8415 0.2549 0.4491
Mg 0.5000 0.0000 0.0000
Li 0.6037 0.7988 0.3744
Au 0.9460 0.0882 0.8053
Au 0.7648 0.4454 0.0863
Au 0.0540 0.9118 0.1947
Au 0.2352 0.5546 0.9137
Li 0.3963 0.2012 0.6256

Computed properties:
Energy of formation: -353 meV per atom
Energy above the lowest structure with this stoichiometry: 0.0184 eV/atom



Entry from Alexandria via LeMat-Bulk: a geometry-optimized PmNpAs2O8 structure (PBE-GGA).

abc: 5.5911 5.5911 7.2811
angles: 90.00 90.00 120.00
Sites, in units of the cell vectors:
O 0.3333 0.6667 0.0430
As 0.3333 0.6667 0.8113
O 0.6667 0.3333 0.9570
O 0.1653 0.3313 0.7311
O 0.8340 0.1653 0.2689
Np 0.0000 0.0000 0.0000
As 0.6667 0.3333 0.1887
O 0.8347 0.6687 0.2689
O 0.6687 0.8340 0.7311
O 0.3313 0.1660 0.2689
O 0.1660 0.8347 0.7311
Pm 0.0000 0.0000 0.5000

Computed properties:
Raw formation energy: -2.002 eV/atom



Entry from Alexandria via LeMat-Bulk: a geometry-optimized Ba6Na2RhN structure (PBE-GGA).

abc: 8.3072 8.3073 8.7941
angles: 118.19 118.19 90.00
Sites, in units of the cell vectors:
Ba 0.2435 0.2440 0.4870
N 0.0447 0.0452 0.0895
Ba 0.2277 0.7653 0.9928
Na 0.2479 0.7483 0.4955
Na 0.7478 0.2483 0.4955
Rh 0.5068 0.5073 0.0134
Ba 0.2279 0.2282 0.9928
Ba 0.7650 0.2284 0.9928
Ba 0.7648 0.7655 0.9928
Ba 0.7229 0.7233 0.4457

Computed properties:
Raw formation energy: -0.126 eV/atom



Entry from Alexandria via LeMat-Bulk: a geometry-optimized TbPrNdMg structure (PBE-GGA).

abc: 3.7077 3.7077 9.2485
angles: 90.00 90.00 90.00
Sites, in units of the cell vectors:
Pr 0.5000 0.5000 0.3428
Tb 0.5000 0.5000 0.7988
Nd 0.0000 0.0000 0.0641
Mg 0.0000 0.0000 0.5791

Computed properties:
Energy of formation: -35 meV per atom
Energy above the lowest structure with this stoichiometry: 0.0000 eV/atom



What did the fifth record say?
Entry from Alexandria via LeMat-Bulk: a geometry-optimized Li2MgAu8 structure (PBE-GGA).

abc: 4.9917 6.5657 6.5082
angles: 108.51 104.74 97.70
Sites, in units of the cell vectors:
Au 0.3135 0.3622 0.2701
Au 0.6865 0.6378 0.7299
Au 0.1585 0.7451 0.5509
Au 0.8415 0.2549 0.4491
Mg 0.5000 0.0000 0.0000
Li 0.6037 0.7988 0.3744
Au 0.9460 0.0882 0.8053
Au 0.7648 0.4454 0.0863
Au 0.0540 0.9118 0.1947
Au 0.2352 0.5546 0.9137
Li 0.3963 0.2012 0.6256

Computed properties:
Energy of formation: -353 meV per atom
Energy above the lowest structure with this stoichiometry: 0.0184 eV/atom